First-principles (GGA-PBE) data for a relaxed SeS2IN crystal, as listed in Alexandria via LeMat-Bulk.

extended XYZ file:
```
5
Lattice="-2.279 0.265 -4.620 -2.127 -4.633 0.784 -2.951 1.617 1.548" Properties=species:S:1:pos:R:3 pbc="T T T"
I -3.679 -1.376 -1.144
S -1.064 -2.317 0.392
S -1.139 0.132 -2.310
Se 0.000 0.000 0.000
N -1.476 0.808 0.774
```

Results
E_form (uncorrected) in kcal/mol of atoms: 28.3
N(E_F) in states/eV per cell: 5.79
Space-group type: P4/mmm (123)


First-principles (GGA-PBE) data for a relaxed Al2AgMo crystal, as listed in Alexandria via LeMat-Bulk.

extended XYZ file:
```
4
Lattice="-1.451 2.354 -4.534 -3.592 -2.701 -2.828 1.192 2.595 4.477" Properties=species:S:1:pos:R:3 pbc="T T T"
Mo -1.390 2.387 -1.869
Al -0.010 -0.001 -0.014
Al -2.512 -0.173 -3.666
Ag -2.461 -0.140 -1.016
```

Results
Final energy in hartree per atom: -0.191
N(E_F) in states/eV per cell: 2.43
Space-group type: Immm (71)


First-principles (GGA-PBE) data for a relaxed K2Zn2AgAu5 crystal, as listed in Alexandria via LeMat-Bulk.

extended XYZ file:
```
20
Lattice="3.025 0.000 0.000 0.000 11.870 0.000 0.000 0.000 11.870" Properties=species:S:1:pos:R:3 pbc="T T T"
K 0.000 8.012 2.077
K 0.000 3.858 9.792
K 0.000 2.077 3.858
K 0.000 9.792 8.012
Zn 0.000 1.535 7.470
Zn 0.000 10.334 4.400
Zn 0.000 7.470 10.334
Zn 0.000 4.400 1.535
Ag 0.000 0.000 0.000
Ag 0.000 5.935 5.935
Au 1.513 2.327 0.762
Au 1.513 9.543 11.108
Au 1.513 0.762 9.543
Au 1.513 8.262 5.173
Au 1.513 11.108 2.327
Au 1.513 3.608 6.697
Au 1.513 6.697 8.262
Au 1.513 5.173 3.608
Au 1.513 5.935 0.000
Au 1.513 0.000 5.935
```

Results
Final energy in hartree per atom: -0.095
N(E_F) in states/eV per cell: 8.99
Space-group type: P4/mbm (127)


First-principles (GGA-PBE) data for a relaxed U3Sb4Ru3 crystal, as listed in Alexandria via LeMat-Bulk.

extended XYZ file:
```
20
Lattice="7.800 0.000 -2.758 -3.900 6.755 -2.758 0.000 0.000 8.273" Properties=species:S:1:pos:R:3 pbc="T T T"
U 1.950 5.066 3.447
U 5.850 1.689 2.068
U -0.488 2.533 0.689
U 2.438 0.844 4.826
U -1.463 5.911 -2.068
U 3.413 4.222 -0.689
Sb 0.000 0.000 2.692
Sb 2.631 2.198 1.861
Sb 4.581 1.180 -0.897
Sb 0.000 0.000 6.828
Sb 4.488 3.378 -3.655
Sb 0.681 5.575 0.482
Sb 0.588 3.378 -2.276
Sb -1.269 4.557 3.239
Ru -1.950 5.066 0.689
Ru 1.950 1.689 -0.689
Ru 1.463 5.911 -2.068
Ru 4.388 4.222 2.068
Ru 0.488 2.533 3.447
Ru 5.363 0.844 4.826
```

Results
E_form (uncorrected) in kcal/mol of atoms: -6.9
N(E_F) in states/eV per cell: 43.07
Space-group type: I-43d (220)


First-principles (GGA-PBE) data for a relaxed AcLaPrBi crystal, as listed in Alexandria via LeMat-Bulk.

extended XYZ file:
```
4
Lattice="-4.829 3.076 1.000 -4.932 -2.719 1.440 -2.094 0.447 5.404" Properties=species:S:1:pos:R:3 pbc="T T T"
Pr -8.891 0.604 5.883
Ac -5.928 0.402 3.922
Bi 0.000 0.000 0.000
La -2.964 0.201 1.961
```

Results
Final energy in hartree per atom: -0.172
N(E_F) in states/eV per cell: 3.33
Space-group type: F-43m (216)


First-principles (GGA-PBE) data for a relaxed Na2CdPbF8 crystal, as listed in Alexandria via LeMat-Bulk.

extended XYZ file:
```
12
Lattice="3.817 -0.036 -0.002 0.038 5.555 -0.006 0.004 0.009 7.763" Properties=species:S:1:pos:R:3 pbc="T T T"
Na 1.931 2.766 5.704
Na 1.929 2.762 2.051
Cd 0.002 0.004 3.881
Pb 0.000 0.000 0.000
F 0.033 4.257 1.728
F 1.940 4.284 -0.006
F 3.824 1.266 1.729
F 3.827 1.271 6.026
F 1.920 1.244 7.760
F 0.035 4.262 6.025
F 1.939 4.214 3.876
F 1.921 1.314 3.879
```

Results
E_form (uncorrected) in kcal/mol of atoms: -52.7
Space-group type: P2/m (10)


First-principles (GGA-PBE) data for a relaxed ScTcOs2 crystal, as listed in Alexandria via LeMat-Bulk.

extended XYZ file:
```
4
Lattice="-2.305 4.729 0.272 -4.278 0.467 3.039 5.129 -1.180 -0.228" Properties=species:S:1:pos:R:3 pbc="T T T"
Os -0.035 0.028 0.018
Os -3.256 2.570 1.638
Sc -0.233 3.074 0.850
Tc -1.220 0.943 2.234
```

Results
Final energy in hartree per atom: -0.358
N(E_F) in states/eV per cell: 3.73
Space-group type: Immm (71)


First-principles (GGA-PBE) data for a relaxed Ac2TaNi3Pt12 crystal, as listed in Alexandria via LeMat-Bulk.

extended XYZ file:
```
18
Lattice="-5.758 1.712 7.562 -9.337 1.724 1.769 -7.412 -4.177 4.570" Properties=species:S:1:pos:R:3 pbc="T T T"
Ac -14.694 -0.484 9.076
Ac -7.813 -0.257 4.826
Ta 0.000 0.000 0.000
Ni -2.879 0.856 3.781
Ni -4.668 0.862 0.885
Ni -3.706 -2.088 2.285
Pt -12.227 -1.989 7.548
Pt -16.667 1.698 10.299
Pt -17.612 -1.666 8.589
Pt -11.559 0.386 8.755
Pt -15.567 -1.673 11.899
Pt -13.003 0.391 6.418
Pt -10.281 1.248 6.353
Pt -5.841 -2.439 3.603
Pt -4.896 0.925 5.312
Pt -10.948 -1.128 5.146
Pt -6.940 0.932 2.003
Pt -9.505 -1.132 7.483
```

Results
Final energy in hartree per atom: -0.232
N(E_F) in states/eV per cell: 19.89
Space-group type: R-3m (166)


First-principles (GGA-PBE) data for a relaxed AuSe2I2 crystal, as listed in Alexandria via LeMat-Bulk.

extended XYZ file:
```
5
Lattice="3.687 0.000 0.000 0.000 3.687 0.000 1.844 1.844 12.491" Properties=species:S:1:pos:R:3 pbc="T T T"
I 1.844 1.844 1.897
I 3.687 3.687 10.594
Au 0.000 0.000 0.000
Se 3.687 1.844 6.245
Se 1.844 3.687 6.245
```

Results
E_form (uncorrected) in kcal/mol of atoms: 8.2
N(E_F) in states/eV per cell: 4.18
Space-group type: I4/mmm (139)


First-principles (GGA-PBE) data for a relaxed Al2TeCl crystal, as listed in Alexandria via LeMat-Bulk.

extended XYZ file:
```
4
Lattice="-4.212 -2.796 -1.230 0.563 -1.728 4.875 -4.143 0.620 3.131" Properties=species:S:1:pos:R:3 pbc="T T T"
Te -1.790 -0.554 4.003
Al 0.000 0.000 0.000
Al -1.825 -2.262 1.823
Cl -4.177 -1.088 0.951
```

Results
E_form (uncorrected) in kcal/mol of atoms: -1.2
N(E_F) in states/eV per cell: 1.98
Space-group type: C2/m (12)


First-principles (GGA-PBE) data for a relaxed MgCuNiPb crystal, as listed in Alexandria via LeMat-Bulk.

extended XYZ file:
```
4
Lattice="-1.084 4.414 -0.185 -4.364 1.278 0.136 -1.643 2.095 3.689" Properties=species:S:1:pos:R:3 pbc="T T T"
Pb 0.000 0.000 0.000
Ni -5.319 5.841 2.729
Mg -3.546 3.894 1.820
Cu -1.773 1.947 0.910
```

Results
Final energy in hartree per atom: -0.138
N(E_F) in states/eV per cell: 2.27
Space-group type: F-43m (216)


First-principles (GGA-PBE) data for a relaxed Th5PtPb2 crystal, as listed in Alexandria via LeMat-Bulk.

extended XYZ file:
```
16
Lattice="5.988 0.000 0.000 -2.994 5.919 0.000 0.000 0.000 13.685" Properties=species:S:1:pos:R:3 pbc="T T T"
Th 2.994 4.956 12.297
Th 2.994 4.956 8.230
Th 0.000 4.549 6.084
Th 0.000 4.549 0.758
Th 2.994 0.637 3.421
Th 0.000 5.282 10.264
Th 2.994 1.371 7.601
Th 2.994 1.371 12.927
Th 0.000 0.964 1.388
Th 0.000 0.964 5.455
Pt 2.994 2.883 10.264
Pt 0.000 3.036 3.421
Pb 2.994 3.525 5.031
Pb 2.994 3.525 1.811
Pb 0.000 2.395 8.654
Pb 0.000 2.395 11.874
```

Results
Final energy in hartree per atom: -0.236
N(E_F) in states/eV per cell: 21.57
Space-group type: Cmcm (63)


First-principles (GGA-PBE) data for a relaxed KRePt crystal, as listed in Alexandria via LeMat-Bulk.

extended XYZ file:
```
3
Lattice="4.949 0.000 0.000 -2.474 4.286 0.000 0.000 0.000 2.697" Properties=species:S:1:pos:R:3 pbc="T T T"
K 0.000 0.000 2.697
Pt 2.474 1.429 1.349
Re 0.000 2.857 1.349
```

Results
Final energy in hartree per atom: -0.197
N(E_F) in states/eV per cell: 4.02
Space-group type: P-6m2 (187)


First-principles (GGA-PBE) data for a relaxed ZrMn4Cl crystal, as listed in Alexandria via LeMat-Bulk.

extended XYZ file:
```
6
Lattice="1.042 -2.443 4.344 2.950 2.205 3.516 -2.033 1.615 4.380" Properties=species:S:1:pos:R:3 pbc="T T T"
Zr 1.469 1.033 9.180
Mn 1.250 -0.676 6.749
Mn -0.256 1.311 6.766
Mn 2.184 1.600 6.343
Mn 0.740 0.520 4.622
Cl 0.000 0.000 0.000
```

Results
E_form (uncorrected) in kcal/mol of atoms: 10.8
N(E_F) in states/eV per cell: 7.43
Space-group type: F-43m (216)


First-principles (GGA-PBE) data for a relaxed CePr2Cu2Si2 crystal, as listed in Alexandria via LeMat-Bulk.

extended XYZ file:
```
7
Lattice="4.120 0.000 0.000 2.060 3.568 0.000 2.060 1.189 11.237" Properties=species:S:1:pos:R:3 pbc="T T T"
Ce 0.000 0.000 0.000
Pr 2.060 1.189 7.202
Pr 6.180 3.568 4.035
Cu 4.120 2.379 1.997
Cu 4.120 2.379 9.240
Si 6.180 3.568 9.228
Si 2.060 1.189 2.009
```

Results
E_form (uncorrected) in kcal/mol of atoms: -10.3
N(E_F) in states/eV per cell: 9.51
Space-group type: R-3m (166)


First-principles (GGA-PBE) data for a relaxed CsCd3Au crystal, as listed in Alexandria via LeMat-Bulk.

extended XYZ file:
```
10
Lattice="-3.080 -6.157 -1.612 5.139 2.178 -4.341 4.662 -3.338 3.844" Properties=species:S:1:pos:R:3 pbc="T T T"
Cs 4.383 -0.605 -2.742
Cs 2.339 -6.712 0.633
Cd 0.595 -1.150 -1.721
Cd 3.795 -4.498 -2.310
Cd 1.464 -2.828 -4.232
Cd -0.989 -6.054 -0.958
Cd 2.927 -2.820 0.201
Cd 7.711 -1.263 -1.151
Au 0.981 -4.056 -1.612
Au 5.741 -3.262 -0.497
```

Results
Final energy in hartree per atom: -0.056
N(E_F) in states/eV per cell: 2.79
Space-group type: Cmcm (63)


First-principles (GGA-PBE) data for a relaxed Tb5MgCd4 crystal, as listed in Alexandria via LeMat-Bulk.

extended XYZ file:
```
10
Lattice="3.775 0.000 0.000 0.000 3.775 0.000 0.000 0.000 18.746" Properties=species:S:1:pos:R:3 pbc="T T T"
Tb 1.888 1.888 1.895
Tb 1.888 1.888 5.634
Tb 1.888 1.888 9.373
Tb 1.888 1.888 13.112
Tb 1.888 1.888 16.851
Mg 0.000 0.000 0.000
Cd 0.000 0.000 3.733
Cd 0.000 0.000 7.501
Cd 0.000 0.000 11.246
Cd 0.000 0.000 15.014
```

Results
Final energy in hartree per atom: -0.114
N(E_F) in states/eV per cell: 13.52
Space-group type: P4/mmm (123)


First-principles (GGA-PBE) data for a relaxed Rb3ScOs crystal, as listed in Alexandria via LeMat-Bulk.

extended XYZ file:
```
5
Lattice="-4.355 -1.368 4.370 -2.812 -3.961 -4.043 3.615 -4.730 2.121" Properties=species:S:1:pos:R:3 pbc="T T T"
Sc -1.776 -5.030 1.224
Os 0.000 0.000 0.000
Rb -1.406 -1.981 -2.021
Rb 1.807 -2.365 1.060
Rb -2.178 -0.684 2.185
```

Results
Final energy in hartree per atom: -0.086
N(E_F) in states/eV per cell: 12.72
Space-group type: Pm-3m (221)


First-principles (GGA-PBE) data for a relaxed La2GdMn crystal, as listed in Alexandria via LeMat-Bulk.

extended XYZ file:
```
4
Lattice="-3.259 -1.718 0.894 -0.630 -0.715 -3.670 4.044 -7.293 0.727" Properties=species:S:1:pos:R:3 pbc="T T T"
Gd 0.078 -4.863 -1.024
Mn -1.945 -1.217 -1.388
La 3.197 -5.765 0.575
La 0.847 -1.528 0.152
```

Results
Final energy in hartree per atom: -0.297
N(E_F) in states/eV per cell: 6.40
Space-group type: P4/mmm (123)


First-principles (GGA-PBE) data for a relaxed LiYTl crystal, as listed in Alexandria via LeMat-Bulk.

extended XYZ file:
```
3
Lattice="-4.173 2.429 0.791 2.186 -2.371 3.680 1.825 2.884 0.774" Properties=species:S:1:pos:R:3 pbc="T T T"
Li -2.053 0.829 1.754
Y 0.913 1.442 0.387
Tl 0.066 -0.771 2.717
```

Results
Final energy in hartree per atom: -0.142
N(E_F) in states/eV per cell: 1.97
Space-group type: P-6m2 (187)


These records have theoretical density values of 4.79; 6.64; 10.14; 11.46; 8.56; 5.22; 14.06; 14.78; 5.95; 3.42; 8.82; 12.12; 12.20; 6.16; 6.08; 7.17; 7.88; 3.23; 6.76; 6.87 Mg/m³, in the order they appear.